1.
Here is an optimized crystal structure of CeLuPaGa from Alexandria via LeMat-Bulk. Energies are from GGA-PBE.

* energy of formation from the pure elements: 2.1 kcal/mol of atoms

Unit cell a=7.306 b=7.306 c=7.306 alpha=90.00 beta=90.00 gamma=90.00
Atoms (fractional coordinates):
Ce1 0.000 0.000 0.000
Ce2 0.000 0.500 0.500
Ce3 0.500 0.000 0.500
Ce4 0.500 0.500 0.000
Lu1 0.000 0.000 0.500
Lu2 0.000 0.500 0.000
Lu3 0.500 0.000 0.000
Lu4 0.500 0.500 0.500
Pa1 0.250 0.250 0.750
Pa2 0.250 0.750 0.250
Pa3 0.750 0.250 0.250
Pa4 0.750 0.750 0.750
Ga1 0.250 0.250 0.250
Ga2 0.250 0.750 0.750
Ga3 0.750 0.250 0.750
Ga4 0.750 0.750 0.250

2.
Here is an optimized crystal structure of CdBi3Pb7 from Alexandria via LeMat-Bulk. Energies are from GGA-PBE.

* energy of formation from the pure elements: 1.2 kcal/mol of atoms

Unit cell a=7.013 b=7.013 c=8.441 alpha=90.00 beta=90.00 gamma=120.00
Atoms (fractional coordinates):
Cd1 0.000 0.000 0.000
Bi1 0.160 0.321 0.337
Bi2 0.160 0.840 0.337
Bi3 0.679 0.840 0.337
Pb1 0.333 0.166 0.674
Pb2 0.333 0.667 0.674
Pb3 0.501 0.003 0.022
Pb4 0.501 0.499 0.022
Pb5 0.834 0.166 0.674
Pb6 0.834 0.667 0.674
Pb7 0.997 0.499 0.022

3.
Here is an optimized crystal structure of BaCrN from Alexandria via LeMat-Bulk. Energies are from GGA-PBE.

Unit cell a=11.701 b=3.468 c=6.003 alpha=90.00 beta=90.00 gamma=90.00
Atoms (fractional coordinates):
Ba1 0.141 0.000 0.000
Ba2 0.141 0.500 0.500
Ba3 0.859 0.000 0.000
Ba4 0.859 0.500 0.500
Cr1 0.421 0.000 0.661
Cr2 0.421 0.500 0.161
Cr3 0.579 0.000 0.661
Cr4 0.579 0.500 0.161
N1 0.000 0.000 0.666
N2 0.000 0.500 0.166
N3 0.500 0.000 0.994
N4 0.500 0.500 0.494

4.
Here is an optimized crystal structure of NdZn2Ni2P from Alexandria via LeMat-Bulk. Energies are from GGA-PBE.

* energy of formation from the pure elements: -11.1 kcal/mol of atoms

Unit cell a=4.271 b=4.271 c=5.570 alpha=90.00 beta=90.00 gamma=90.00
Atoms (fractional coordinates):
Nd1 0.000 0.000 0.000
Zn1 0.500 0.500 0.235
Zn2 0.500 0.500 0.765
Ni1 0.000 0.500 0.500
Ni2 0.500 0.000 0.500
P1 0.000 0.000 0.500

5.
Here is an optimized crystal structure of SbCCl4O2 from Alexandria via LeMat-Bulk. Energies are from GGA-PBE.

Unit cell a=7.253 b=7.518 c=17.182 alpha=81.07 beta=86.40 gamma=85.22
Atoms (fractional coordinates):
Sb1 0.159 0.242 0.122
Sb2 0.296 0.261 0.612
Sb3 0.704 0.739 0.388
Sb4 0.841 0.758 0.878
C1 0.055 0.451 0.969
C2 0.418 0.572 0.499
C3 0.582 0.428 0.501
C4 0.945 0.549 0.031
Cl1 0.002 0.690 0.333
Cl2 0.104 0.914 0.891
Cl3 0.111 0.230 0.258
Cl4 0.193 0.168 0.498
Cl5 0.369 0.995 0.109
Cl6 0.388 0.968 0.670
Cl7 0.391 0.449 0.113
Cl8 0.437 0.399 0.705
Cl9 0.563 0.601 0.295
Cl10 0.609 0.551 0.887
Cl11 0.612 0.032 0.330
Cl12 0.631 0.005 0.891
Cl13 0.807 0.832 0.502
Cl14 0.889 0.770 0.742
Cl15 0.896 0.086 0.109
Cl16 0.998 0.310 0.667
O1 0.034 0.514 0.897
O2 0.160 0.313 0.993
O3 0.275 0.534 0.543
O4 0.435 0.721 0.454
O5 0.565 0.279 0.546
O6 0.725 0.466 0.457
O7 0.840 0.687 0.007
O8 0.966 0.486 0.103

6.
Here is an optimized crystal structure of Pm2ZnAu7 from Alexandria via LeMat-Bulk. Energies are from GGA-PBE.

* energy of formation from the pure elements: -2.5 kcal/mol of atoms

Unit cell a=7.037 b=7.037 c=7.037 alpha=60.00 beta=60.00 gamma=60.00
Atoms (fractional coordinates):
Pm1 0.250 0.250 0.250
Pm2 0.750 0.750 0.750
Zn1 0.000 0.000 0.000
Au1 0.241 0.241 0.759
Au2 0.241 0.759 0.241
Au3 0.241 0.759 0.759
Au4 0.500 0.500 0.500
Au5 0.759 0.241 0.241
Au6 0.759 0.241 0.759
Au7 0.759 0.759 0.241

Let's list N(E_F) in order: 35.0 4.7 5.4 3.3 0.0 4.5 states/eV/cell.
Let's list calculated total energy in order: -5.6524 -3.4480 -6.0624 -4.5282 -4.6925 -3.4812 eV/atom.